No. 1
The following is a GGA-PBE calculation of an optimized crystal structure of ScCoCl6, from the Open Quantum Materials Database.

## Properties
- DFT total energy (eV per atom) = -4.373
- space-group type = C2

abc: 6.0754 6.0754 6.3257
angles: 99.24 99.24 119.90
Positions (direct):
1 Cl 0.2027 0.2307 0.2264
2 Cl 0.4534 0.0828 0.7757
3 Cl 0.9172 0.5466 0.2243
4 Cl 0.7693 0.7973 0.7736
5 Cl 0.6019 0.9444 0.2224
6 Cl 0.0556 0.3981 0.7776
7 Co 0.8335 0.1665 0.0000
8 Sc 0.1665 0.8335 0.0000


No. 2
The following is a GGA-PBE calculation of an optimized crystal structure of LiPd2Pb, from the Open Quantum Materials Database.

## Properties
- DFT total energy (eV per atom) = -4.401
- space-group type = P4/mmm

abc: 4.1655 4.1655 3.9380
angles: 90.00 90.00 90.00
Positions (direct):
1 Pd 0.5000 0.0000 0.5000
2 Pd 0.0000 0.5000 0.5000
3 Pb 0.5000 0.5000 0.0000
4 Li 0.0000 0.0000 0.0000


No. 3
The following is a GGA-PBE calculation of an optimized crystal structure of TaSi, from the Open Quantum Materials Database.

## Properties
- DFT total energy (eV per atom) = -7.616
- space-group type = F-43m

abc: 4.0746 4.0746 4.0746
angles: 60.00 60.00 60.00
Positions (direct):
1 Si 0.0000 0.0000 0.0000
2 Ta 0.2500 0.2500 0.2500